Computed, not measured: Nb3PdO6 after structural relaxation at the PBE level of DFT.

a b c (Å): 7.7471 7.7471 16.0073
angles (deg): 90.00 90.00 120.00
Space group R-3 (No. 148, hexagonal axes)
One atom of each set of equivalent atoms:
Nb1 0.0377 0.2528 0.4118
Pd1 0.0000 0.0000 0.1999
O1 0.0433 0.2527 0.6550
O2 0.0445 0.4486 0.8359

Results
* final energy: -8.36 eV per atom
* crystal system: trigonal
* total magnetization: 0.0 μB per formula unit